Density functional theory data (PBE-GGA) for NdGa2As after structural relaxation.

M_tot	0.0	μB per formula unit
ΔH_f (0 K)	-581	meV per atom
crystal system	tetragonal
total energy	-17.794	eV/f.u.

Cell and atoms, written as CIF:
```
data_NdGa2As
_chemical_formula_sum 'Nd1 Ga2 As1'
_space_group_name_H-M_alt 'P 4/m m m'
_space_group_IT_number 123
_space_group_name_Hall '-P 4 2'
_cell_length_a 4.3763
_cell_length_b 4.3763
_cell_length_c 4.4949
_cell_angle_alpha 90.00
_cell_angle_beta 90.00
_cell_angle_gamma 90.00
loop_
_atom_site_label
_atom_site_fract_x
_atom_site_fract_y
_atom_site_fract_z
_atom_site_occupancy
Nd1 0.0000 0.0000 0.0000 1
Ga1 0.0000 0.5000 0.5000 1
As1 0.5000 0.5000 0.0000 1
```